Record 1
The following is a PBE calculation of a geometry-optimized Ag2HgMo structure, from Alexandria.

## Properties
Calculated formation energy, meV/atom: 917

a b c (Å): 6.161 6.161 6.161
angles (deg): 102.22 102.22 125.21
Fractional coordinates of all 8 atoms:
Ag 0.123 0.625 0.998
Ag 0.375 0.373 0.498
Ag 0.627 0.125 0.002
Ag 0.875 0.877 0.502
Hg 0.250 0.750 0.500
Hg 0.500 0.500 0.000
Mo 0.000 0.000 0.000
Mo 0.750 0.250 0.500

Record 2
The following is a PBE calculation of a geometry-optimized Ba2UPaS6 structure, from Alexandria.

## Properties
Formation energy from raw total energies, meV/atom: -1791

a b c (Å): 7.284 7.538 12.722
angles (deg): 90.00 124.88 90.00
Fractional coordinates of all 20 atoms:
Ba 0.234 0.059 0.250
Ba 0.234 0.441 0.750
Ba 0.766 0.559 0.250
Ba 0.766 0.941 0.750
U 0.500 0.000 0.000
U 0.500 0.500 0.500
Pa 0.000 0.000 0.500
Pa 0.000 0.500 0.000
S 0.157 0.209 0.953
S 0.157 0.291 0.453
S 0.247 0.704 0.954
S 0.247 0.796 0.454
S 0.335 0.023 0.748
S 0.335 0.477 0.248
S 0.665 0.523 0.752
S 0.665 0.977 0.252
S 0.753 0.204 0.546
S 0.753 0.296 0.046
S 0.843 0.709 0.547
S 0.843 0.791 0.047

Record 3
The following is a PBE calculation of a geometry-optimized MnBiSe3 structure, from Alexandria.

## Properties
Offset from the most stable computed form, meV/atom: 67
Formation energy from raw total energies, meV/atom: -303

a b c (Å): 7.592 4.943 7.794
angles (deg): 90.00 106.27 90.00
Fractional coordinates of all 10 atoms:
Mn 0.185 0.250 0.494
Mn 0.815 0.750 0.506
Bi 0.229 0.750 0.941
Bi 0.771 0.250 0.059
Se 0.157 0.750 0.537
Se 0.172 0.250 0.176
Se 0.370 0.250 0.812
Se 0.630 0.750 0.188
Se 0.828 0.750 0.824
Se 0.843 0.250 0.463

Record 4
The following is a PBE calculation of a geometry-optimized ScGa2Ag structure, from Alexandria.

## Properties
Calculated formation energy, meV/atom: -398
Offset from the most stable computed form, meV/atom: 0

a b c (Å): 4.188 4.188 4.081
angles (deg): 90.00 90.00 90.00
Fractional coordinates of all 4 atoms:
Sc 0.000 0.000 0.000
Ga 0.000 0.500 0.500
Ga 0.500 0.000 0.500
Ag 0.500 0.500 0.000

Record 5
The following is a PBE calculation of a geometry-optimized AlTc2Os structure, from Alexandria.

## Properties
Calculated formation energy, meV/atom: 149

a b c (Å): 2.713 2.713 8.778
angles (deg): 90.00 90.00 115.14
Fractional coordinates of all 4 atoms:
Al 0.000 0.000 0.000
Tc 0.500 0.500 0.246
Tc 0.500 0.500 0.754
Os 0.000 0.000 0.500

Record 6
The following is a PBE calculation of a geometry-optimized LaFe2W structure, from Alexandria.

## Properties
Calculated formation energy, meV/atom: 469
Offset from the most stable computed form, meV/atom: 216

a b c (Å): 3.218 4.065 5.831
angles (deg): 90.00 105.98 90.00
Fractional coordinates of all 4 atoms:
La 0.000 0.000 0.000
Fe 0.258 0.000 0.511
Fe 0.383 0.500 0.763
W 0.727 0.500 0.450